A relaxed structure of Rb2ZrFeF6, computed with GGA+U.

Cell lengths 6.229, 6.229, 6.229 Å; angles 120.24, 120.24, 89.58 degrees
Sites, in units of the cell vectors:
1 Rb 0.250 0.750 0.500
2 Rb 0.750 0.250 0.500
3 Zr 0.000 0.000 0.000
4 Fe 0.500 0.500 0.000
5 F 0.254 0.254 0.508
6 F 0.254 0.746 0.000
7 F 0.269 0.269 0.000
8 F 0.731 0.731 0.000
9 F 0.746 0.254 0.000
10 F 0.746 0.746 0.492

Summary:
Space-group type: I4/mmm
DFT total energy, eV/atom: -5.318
Calculated volume, Å³/f.u.: 170